DFT (PBE) results for a geometry-optimized KHg2Se structure.

a = 6.4727 Å, b = 6.4727 Å, c = 5.2166 Å
α = 65.93°, β = 65.93°, γ = 36.82°
Closest atoms and distances in Å follow each position.
Fractional positions:
Hg (0.9532, 0.9532, 0.0476)  2 Se 3.04
Hg (0.5468, 0.5468, 0.4524)  2 Se 3.04
Se (0.2500, 0.2500, 0.2500)  4 Hg 3.04, 4 K 3.31
K (0.7500, 0.7500, 0.7500)  4 Se 3.31, 4 Hg 3.43-3.46

Properties
**Crystal system**: monoclinic
**Total moment**: 0.0 μB per cell
**Formation energy (no corrections)**: -0.34 eV per atom
**N(E_F)**: 2.47 states/eV/cell
**Offset from the most stable computed form**: 0.053 eV/atom
**Electronic total energy**: -1.638 eV/atom